A relaxed structure of Tb3Sm9Th2, computed with PBE.

Cell: 10.038 10.038 5.707 Å, 106.47 106.47 63.05°
Atoms (fractional coordinates):
Tb: 0.000 0.000 0.000
Tb: 0.597 0.597 0.597
Tb: 0.708 0.708 0.209
Sm: 0.038 0.377 0.207
Sm: 0.069 0.734 0.402
Sm: 0.268 0.938 0.603
Sm: 0.331 0.672 0.002
Sm: 0.377 0.038 0.207
Sm: 0.388 0.388 0.389
Sm: 0.672 0.331 0.002
Sm: 0.734 0.069 0.402
Sm: 0.938 0.268 0.603
Th: 0.627 0.960 0.794
Th: 0.960 0.627 0.794

Summary:
space-group type = Cm, No. 8

***

A relaxed structure of Cd2NiAg2, computed with PBE.

Cell: 6.756 6.756 4.188 Å, 90.00 90.00 90.00°
Atoms (fractional coordinates):
Cd: 0.166 0.334 0.000
Cd: 0.334 0.834 0.000
Cd: 0.666 0.166 0.000
Cd: 0.834 0.666 0.000
Ni: 0.000 0.000 0.500
Ni: 0.500 0.500 0.500
Ag: 0.143 0.643 0.500
Ag: 0.357 0.143 0.500
Ag: 0.643 0.857 0.500
Ag: 0.857 0.357 0.500

Summary:
space-group type = P4/mbm, No. 127
ΔE to the lowest computed polymorph = 0.000 eV/atom

***

A relaxed structure of Sm3Ga6Pt5, computed with PBE.

Cell: 4.333 12.998 9.331 Å, 90.00 90.00 90.00°
Atoms (fractional coordinates):
Sm: 0.250 0.051 0.249
Sm: 0.250 0.449 0.249
Sm: 0.250 0.750 0.250
Sm: 0.750 0.250 0.750
Sm: 0.750 0.551 0.751
Sm: 0.750 0.949 0.751
Ga: 0.250 0.071 0.905
Ga: 0.250 0.250 0.077
Ga: 0.250 0.250 0.456
Ga: 0.250 0.429 0.905
Ga: 0.250 0.597 0.523
Ga: 0.250 0.903 0.523
Ga: 0.750 0.097 0.477
Ga: 0.750 0.403 0.477
Ga: 0.750 0.571 0.095
Ga: 0.750 0.750 0.544
Ga: 0.750 0.750 0.923
Ga: 0.750 0.929 0.095
Pt: 0.250 0.094 0.627
Pt: 0.250 0.406 0.627
Pt: 0.250 0.633 0.969
Pt: 0.250 0.750 0.707
Pt: 0.250 0.867 0.969
Pt: 0.750 0.133 0.031
Pt: 0.750 0.250 0.293
Pt: 0.750 0.367 0.031
Pt: 0.750 0.594 0.373
Pt: 0.750 0.906 0.373

Summary:
space-group type = Pmmn, No. 59

***

A relaxed structure of CaNi2Pb, computed with PBE.

Cell: 4.011 5.248 5.248 Å, 44.49 90.00 90.00°
Atoms (fractional coordinates):
Ca: 0.000 0.000 0.000
Ni: 0.000 0.714 0.714
Ni: 0.500 0.581 0.581
Pb: 0.500 0.293 0.293

Summary:
space-group type = Amm2, No. 38

***

Sequential DOS(E_F) output: 22.55 5.29 14.76 2.83 states/eV/cell
Sequential energy output: -68.460 -12.115 -75.969 -17.600 eV/f.u.